Record 1
First-principles (PBE) data for a geometry-optimized Tb2GaB2Ru5 structure, as listed in Alexandria via LeMat-Bulk.

Properties
Density of states at the Fermi level   10.9 states/eV/f.u.
Space-group type   P4/mbm, No. 127
Energy of formation   -4.5 eV per formula unit
Theoretical density   10.55 g cm⁻³
Spin magnetization   0.000 μB/atom

a b c (Å): 9.590 9.590 3.130
angles (deg): 90.00 90.00 90.00
Fractional coordinates of all 20 atoms:
1 Tb 0.176 0.324 0.000
2 Tb 0.324 0.824 0.000
3 Tb 0.676 0.176 0.000
4 Tb 0.824 0.676 0.000
5 Ga 0.000 0.000 0.000
6 Ga 0.500 0.500 0.000
7 B 0.124 0.624 0.000
8 B 0.376 0.124 0.000
9 B 0.624 0.876 0.000
10 B 0.876 0.376 0.000
11 Ru 0.000 0.500 0.500
12 Ru 0.069 0.781 0.500
13 Ru 0.219 0.069 0.500
14 Ru 0.281 0.569 0.500
15 Ru 0.431 0.281 0.500
16 Ru 0.500 0.000 0.500
17 Ru 0.569 0.719 0.500
18 Ru 0.719 0.431 0.500
19 Ru 0.781 0.931 0.500
20 Ru 0.931 0.219 0.500



Record 2
First-principles (PBE) data for a geometry-optimized BSbP2O structure, as listed in Alexandria via LeMat-Bulk.

Properties
Density of states at the Fermi level   3.5 states/eV/f.u.
Space-group type   P4/mmm, No. 123
Distance to the lowest polymorph of the same formula   1141 meV/atom
Theoretical density   3.50 g cm⁻³
Formation energy from raw total energies   1345 meV/atom
Spin magnetization   0.000 μB/atom

a b c (Å): 5.073 5.073 3.879
angles (deg): 90.00 90.00 90.00
Fractional coordinates of all 5 atoms:
1 B 0.000 0.000 0.000
2 Sb 0.500 0.500 0.500
3 P 0.000 0.500 0.500
4 P 0.500 0.000 0.500
5 O 0.500 0.500 0.000



Record 3
First-principles (PBE) data for a geometry-optimized Ce5PuIn structure, as listed in Alexandria via LeMat-Bulk.

Properties
Density of states at the Fermi level   23.3 states/eV/f.u.
Space-group type   C2/c, No. 15
Energy of formation   2.3 eV per formula unit
Theoretical density   9.37 g cm⁻³
Spin magnetization   0.000 μB/atom

a b c (Å): 7.144 7.144 9.491
angles (deg): 118.10 118.10 73.30
Fractional coordinates of all 14 atoms:
1 Ce 0.109 0.891 0.750
2 Ce 0.116 0.364 0.728
3 Ce 0.304 0.502 0.510
4 Ce 0.364 0.116 0.228
5 Ce 0.498 0.696 0.990
6 Ce 0.502 0.304 0.010
7 Ce 0.636 0.884 0.772
8 Ce 0.696 0.498 0.490
9 Ce 0.884 0.636 0.272
10 Ce 0.891 0.109 0.250
11 Pu 0.000 0.000 0.000
12 Pu 0.000 0.000 0.500
13 In 0.286 0.714 0.250
14 In 0.714 0.286 0.750